This record from Alexandria describes a geometry-optimized KMo2Se structure. The functional is PBE-GGA.

Values from the calculation:
V: 24.4 Å³/atom
Formation energy without anion corrections: 822.7 meV per atom
Distance to the lowest polymorph of the same formula: 529 meV per atom
Total magnetization: 0.275 μB per atom
E: -45.91 eV per cell

Cell: 4.521 4.521 10.083 Å, 77.05 77.05 90.00°
Site moments in Bohr magnetons follow the coordinates.
Fractional coordinates of all 8 atoms:
Mo 0.961 0.125 0.250  0.45
Mo 0.789 0.625 0.250  0.43
Mo 0.375 0.039 0.750  0.43
Mo 0.875 0.211 0.750  0.41
K 0.500 0.500 0.000  0.01
K 0.250 0.750 0.500  0.01
Se 0.000 0.000 0.000  0.02
Se 0.750 0.250 0.500  0.02


This record from Alexandria describes a geometry-optimized KMoSe3 structure. The functional is PBE-GGA.

Values from the calculation:
V: 36.0 Å³/atom
Formation energy without anion corrections: 1518.8 meV per atom
Distance to the lowest polymorph of the same formula: 1922 meV per atom
Total magnetization: 0.200 μB per atom
E: -14.79 eV per cell

Cell: 5.644 5.644 5.644 Å, 90.00 90.00 90.00°
Site moments in Bohr magnetons follow the coordinates.
Fractional coordinates of all 5 atoms:
Mo 0.500 0.500 0.500  -3.84
K 0.000 0.000 0.000  0.05
Se 0.000 0.500 0.000  0.80
Se 0.000 0.000 0.500  0.83
Se 0.500 0.000 0.000  0.64


This record from Alexandria describes a geometry-optimized KMo2Se structure. The functional is PBE-GGA.

Values from the calculation:
V: 24.3 Å³/atom
Formation energy without anion corrections: 386.9 meV per atom
Distance to the lowest polymorph of the same formula: 93 meV per atom
Total magnetization: 0.138 μB per atom
E: -24.70 eV per cell

Cell: 4.516 4.516 7.215 Å, 82.52 82.52 41.85°
Site moments in Bohr magnetons follow the coordinates.
Fractional coordinates of all 4 atoms:
K 0.242 0.242 0.264  0.02
Mo 0.024 0.024 0.880  0.40
Mo 0.750 0.750 0.762  -0.15
Se 0.484 0.484 0.594  0.01


This record from Alexandria describes a geometry-optimized KMoSe2 structure. The functional is PBE-GGA.

Values from the calculation:
V: 29.5 Å³/atom
Formation energy without anion corrections: -240.2 meV per atom
Total magnetization: 0.750 μB per atom
E: -19.86 eV per cell

Cell: 5.927 5.927 5.927 Å, 142.26 107.27 84.98°
Site moments in Bohr magnetons follow the coordinates.
Fractional coordinates of all 4 atoms:
K 0.750 0.250 0.500  0.01
Mo 0.250 0.750 0.500  2.55
Se 0.057 0.057 0.000  -0.06
Se 0.443 0.443 0.000  -0.06